A geometry-optimized BaBeAg structure. Source: the Alexandria database, functional GGA-PBE.

crystal system: tetragonal
Fermi-level density of states: 2.94 states/eV/cell
ΔE_f: 0.281 eV/atom
ΔE to the lowest computed polymorph: 0.63 eV/f.u.
total energy: -2.55 eV/atom
magnetic moment: 0.0 μB/f.u.

The structure in CIF format:
```
data_BaBeAg
_cell_length_a 3.415
_cell_length_b 3.415
_cell_length_c 12.044
_cell_angle_alpha 90.00
_cell_angle_beta 90.00
_cell_angle_gamma 90.00
_symmetry_space_group_name_H-M 'I 4 m m'
_symmetry_Int_Tables_number 107
_symmetry_space_group_name_Hall 'I 4 -2'
loop_
_atom_site_label
_atom_site_type_symbol
_atom_site_fract_x
_atom_site_fract_y
_atom_site_fract_z
Ba1 Ba 0.000 0.000 0.000
Be1 Be 0.000 0.000 0.286
Ag1 Ag 0.000 0.000 0.721
```